PmEr4Sb5: relaxed, PBE-GGA.

Calculated values
* theoretical density: 7949 kg/m³
* D(E_F): 1.939 states/eV/cell
* crystal system: orthorhombic
* uncorrected formation energy: -1.108 eV/atom
* space group: Immm

```
PmEr4Sb5
1.0
-3.971 1.774 0.524
-0.616 -2.974 5.402
6.786 9.121 2.240
Pm Er Sb
1 4 5
Cartesian
0.000 0.000 0.000 Pm
3.592 6.814 4.161 Er
0.386 4.483 6.066 Er
1.813 3.439 2.099 Er
-1.394 1.107 4.005 Er
-1.056 2.651 1.339 Sb
0.715 6.011 3.390 Sb
1.483 1.911 4.775 Sb
-0.308 -1.487 2.701 Sb
3.254 5.271 6.827 Sb
```


BaCrCl: relaxed, PBE-GGA.

Calculated values
* theoretical density: 3078 kg/m³
* excess energy over the best structure of this formula in the dataset: 169.2 meV/atom
* crystal system: cubic
* uncorrected formation energy: -0.094 eV/atom
* space group: F-43m

```
BaCrCl
1.0
5.556 0.000 0.000
2.778 4.811 0.000
2.778 1.604 4.536
Cr Ba Cl
1 1 1
Cartesian
5.556 3.207 2.268 Cr
2.778 1.604 1.134 Ba
0.000 0.000 0.000 Cl
```


Mn2GaCo2: relaxed, PBE-GGA.

Calculated values
* theoretical density: 8288 kg/m³
* D(E_F): 13.329 states/eV/cell
* crystal system: tetragonal
* space group: P4/mbm
* DFT formation energy: 0.22 eV/atom

```
Mn2GaCo2
1.0
6.839 0.000 0.000
0.000 6.839 0.000
0.000 0.000 2.548
Mn Co Ga
4 4 2
Cartesian
2.610 6.030 0.000 Mn
6.030 4.229 0.000 Mn
4.229 0.809 0.000 Mn
0.809 2.610 0.000 Mn
1.193 4.613 1.274 Co
4.613 5.646 1.274 Co
5.646 2.226 1.274 Co
2.226 1.193 1.274 Co
0.000 0.000 0.000 Ga
3.420 3.420 0.000 Ga
```


Sb: relaxed, PBE-GGA.

Calculated values
* theoretical density: 6122 kg/m³
* D(E_F): 8.298 states/eV/cell
* excess energy over the best structure of this formula in the dataset: 242.9 meV/atom
* crystal system: triclinic
* uncorrected formation energy: 0.243 eV/atom
* space group: P-1

```
Sb
1.0
-4.732 -3.390 0.839
3.974 -0.266 8.262
-2.964 8.939 0.048
Sb
14
Cartesian
0.000 0.000 0.000 Sb
-0.379 -1.828 4.551 Sb
0.505 4.336 4.155 Sb
-3.848 2.774 0.444 Sb
0.608 1.183 4.533 Sb
-4.330 4.099 4.617 Sb
-1.065 1.772 2.194 Sb
-2.656 3.510 6.956 Sb
0.927 -1.447 7.342 Sb
-4.649 6.729 1.808 Sb
-2.273 4.525 2.617 Sb
-1.449 0.757 6.533 Sb
-3.531 0.200 2.064 Sb
-0.190 5.083 7.086 Sb
```


MnBe2Fe: relaxed, PBE-GGA.

Calculated values
* theoretical density: 5624 kg/m³
* D(E_F): 2.379 states/eV/cell
* crystal system: orthorhombic
* space group: Cmmm
* DFT formation energy: -0.06 eV/atom

```
MnBe2Fe
1.0
2.350 0.010 0.000
-0.525 2.290 0.000
0.000 0.000 7.061
Be Mn Fe
2 1 1
Cartesian
0.000 0.000 0.012 Be
0.000 0.000 3.518 Be
0.912 1.150 5.295 Mn
0.912 1.150 1.765 Fe
```


TbBe2Ni2: relaxed, PBE-GGA.

Calculated values
* theoretical density: 7340 kg/m³
* D(E_F): 2.283 states/eV/cell
* crystal system: tetragonal
* space group: I4/mmm
* DFT formation energy: -0.33 eV/atom

```
TbBe2Ni2
1.0
-2.496 1.329 -2.492
2.610 -0.185 -2.713
-1.399 -4.951 1.611
Tb Be Ni
1 2 2
Cartesian
0.000 0.000 0.000 Tb
-0.296 -0.581 -2.864 Be
-0.989 -3.226 -0.731 Be
-1.919 -1.525 -1.742 Ni
0.634 -2.282 -1.853 Ni
```